Crystalline Nd5ErSc3 at its relaxed geometry. Source: Alexandria, functional PBE.

Properties
- ΔH_f (0 K): 0.47 eV/atom

Unit cell a=11.3610 b=11.4630 c=10.2672 alpha=90.00 beta=107.33 gamma=90.00
Space group C2/m (No. 12)
Inequivalent atoms, fractional coordinates:
Nd1 0.0000 0.2462 0.0000 (multiplicity 4)
Nd2 0.0233 0.2428 0.3421 (multiplicity 8)
Nd3 0.2421 0.5000 0.5794 (multiplicity 4)
Nd4 0.2490 0.5000 0.9155 (multiplicity 4)
Er1 0.2486 0.0000 0.7487 (multiplicity 4)
Sc1 0.0000 0.0000 0.5000 (multiplicity 2)
Sc2 0.0000 0.5000 0.0000 (multiplicity 2)
Sc3 0.0009 0.0000 0.1660 (multiplicity 4)
Sc4 0.0011 0.5000 0.6720 (multiplicity 4)

Crystalline VCd3Au at its relaxed geometry. Source: Alexandria, functional PBE.

Properties
- Offset from the most stable computed form: 0.0000 eV per atom
- ΔH_f (0 K): 0.68 eV/atom

Unit cell a=5.2034 b=5.2034 c=5.2034 alpha=90.00 beta=90.00 gamma=90.00
Space group Pm-3m (No. 221)
Inequivalent atoms, fractional coordinates:
V1 0.0000 0.0000 0.0000 (multiplicity 1)
Cd1 0.0000 0.5000 0.5000 (multiplicity 3)
Au1 0.5000 0.5000 0.5000 (multiplicity 1)

Crystalline Pa3S5N at its relaxed geometry. Source: Alexandria, functional PBE.

Properties
- E_form (uncorrected): -1.5187 eV/atom

Unit cell a=11.7697 b=9.0952 c=8.6393 alpha=90.00 beta=108.72 gamma=90.00
Space group C2/m (No. 12)
Inequivalent atoms, fractional coordinates:
Pa1 0.0000 0.0000 0.0000 (multiplicity 2)
Pa2 0.0000 0.0000 0.5000 (multiplicity 2)
Pa3 0.1544 0.5000 0.1601 (multiplicity 4)
Pa4 0.2267 0.5000 0.6036 (multiplicity 4)
S1 0.0000 0.2932 0.0000 (multiplicity 4)
S2 0.0198 0.5000 0.3418 (multiplicity 4)
S3 0.1897 0.1849 0.6299 (multiplicity 8)
S4 0.2367 0.0000 0.0675 (multiplicity 4)
N1 0.0749 0.0000 0.2838 (multiplicity 4)

Crystalline KHg2P at its relaxed geometry. Source: Alexandria, functional PBE.

Properties
- ΔH_f (0 K): 0.01 eV/atom

Unit cell a=3.3801 b=4.3572 c=7.6276 alpha=90.00 beta=102.75 gamma=90.00
Space group Pm (No. 6)
Inequivalent atoms, fractional coordinates:
K1 0.0000 0.0000 0.0000 (multiplicity 1)
Hg1 0.3427 0.5000 0.6850 (multiplicity 1)
Hg2 0.7185 0.0000 0.4413 (multiplicity 1)
P1 0.6318 0.5000 0.2657 (multiplicity 1)

Crystalline NbV8Mo3 at its relaxed geometry. Source: Alexandria, functional PBE.

Properties
- ΔH_f (0 K): -0.01 eV/atom

Unit cell a=4.9965 b=4.9965 c=8.1086 alpha=90.00 beta=90.00 gamma=120.00
Space group P3m1 (No. 156)
Inequivalent atoms, fractional coordinates:
Nb1 0.0000 0.0000 0.0000 (multiplicity 1)
V1 0.1636 0.3272 0.6853 (multiplicity 3)
V2 0.3333 0.6667 0.4387 (multiplicity 1)
V3 0.3333 0.6667 0.9375 (multiplicity 1)
V4 0.5029 0.0058 0.1911 (multiplicity 3)
Mo1 0.0000 0.0000 0.3788 (multiplicity 1)
Mo2 0.6667 0.3333 0.4986 (multiplicity 1)
Mo3 0.6667 0.3333 0.8769 (multiplicity 1)

Crystalline LaPaCN at its relaxed geometry. Source: Alexandria, functional PBE.

Properties
- E_form (uncorrected): -0.9204 eV/atom

Unit cell a=3.6625 b=3.6625 c=18.1176 alpha=90.00 beta=90.00 gamma=120.00
Space group R3m (No. 160, hexagonal axes)
Inequivalent atoms, fractional coordinates:
La1 0.0000 0.0000 0.0000 (multiplicity 3)
Pa1 0.0000 0.0000 0.5006 (multiplicity 3)
C1 0.0000 0.0000 0.7647 (multiplicity 3)
N1 0.0000 0.0000 0.2320 (multiplicity 3)

Crystalline CsLaOs2O8 at its relaxed geometry. Source: Alexandria, functional PBE.

Properties
- E_form (uncorrected): -1.5482 eV/atom

Unit cell a=5.8727 b=5.8727 c=26.2766 alpha=90.00 beta=90.00 gamma=120.00
Space group R-3 (No. 148, hexagonal axes)
Inequivalent atoms, fractional coordinates:
Cs1 0.0000 0.0000 0.0000 (multiplicity 3)
La1 0.0000 0.0000 0.5000 (multiplicity 3)
Os1 0.0000 0.0000 0.2449 (multiplicity 6)
O1 0.0000 0.0000 0.3124 (multiplicity 6)
O2 0.0259 0.6302 0.8874 (multiplicity 18)

Crystalline Sr3AlPt3 at its relaxed geometry. Source: Alexandria, functional PBE.

Properties
- ΔH_f (0 K): -0.87 eV/atom

Unit cell a=4.2312 b=11.4026 c=14.6438 alpha=90.00 beta=90.00 gamma=90.00
Space group Cmcm (No. 63)
Inequivalent atoms, fractional coordinates:
Sr1 0.0000 0.0021 0.2500 (multiplicity 4)
Sr2 0.0000 0.2802 0.6069 (multiplicity 8)
Al1 0.0000 0.0000 0.0000 (multiplicity 4)
Pt1 0.0000 0.3106 0.2500 (multiplicity 4)
Pt2 0.0000 0.4304 0.0825 (multiplicity 8)

Crystalline Cs2BiSCl6 at its relaxed geometry. Source: Alexandria, functional PBE.

Properties
- E_form (uncorrected): -1.0656 eV/atom

Unit cell a=7.3761 b=7.3761 c=12.7083 alpha=90.00 beta=90.00 gamma=90.00
Space group I4/mmm (No. 139)
Inequivalent atoms, fractional coordinates:
Cs1 0.0000 0.5000 0.2500 (multiplicity 4)
Bi1 0.0000 0.0000 0.0000 (multiplicity 2)
S1 0.0000 0.0000 0.5000 (multiplicity 2)
Cl1 0.0000 0.0000 0.2132 (multiplicity 4)
Cl2 0.2380 0.2380 0.5000 (multiplicity 8)

Crystalline Ta3TiB at its relaxed geometry. Source: Alexandria, functional PBE.

Properties
- Offset from the most stable computed form: 2.2272 eV per atom
- ΔH_f (0 K): 2.23 eV/atom

Unit cell a=4.6222 b=4.6222 c=4.6222 alpha=90.00 beta=90.00 gamma=90.00
Space group Pm-3m (No. 221)
Inequivalent atoms, fractional coordinates:
Ta1 0.0000 0.0000 0.5000 (multiplicity 3)
Ti1 0.0000 0.0000 0.0000 (multiplicity 1)
B1 0.5000 0.5000 0.5000 (multiplicity 1)

Crystalline SrTiBiH2 at its relaxed geometry. Source: Alexandria, functional PBE.

Unit cell a=4.2335 b=4.2335 c=7.1429 alpha=90.00 beta=90.00 gamma=90.00
Space group P4/mmm (No. 123)
Inequivalent atoms, fractional coordinates:
Sr1 0.0000 0.0000 0.0000 (multiplicity 1)
Ti1 0.5000 0.5000 0.5000 (multiplicity 1)
Bi1 0.0000 0.0000 0.5000 (multiplicity 1)
H1 0.0000 0.5000 0.0000 (multiplicity 2)

Crystalline MgAgGe3 at its relaxed geometry. Source: Alexandria, functional PBE.

Properties
- Offset from the most stable computed form: 0.0000 eV per atom
- ΔH_f (0 K): 0.62 eV/atom

Unit cell a=5.0332 b=5.0332 c=5.0332 alpha=90.00 beta=90.00 gamma=90.00
Space group Pm-3m (No. 221)
Inequivalent atoms, fractional coordinates:
Mg1 0.0000 0.0000 0.0000 (multiplicity 1)
Ag1 0.5000 0.5000 0.5000 (multiplicity 1)
Ge1 0.0000 0.5000 0.5000 (multiplicity 3)

Crystalline NdPuZnAg at its relaxed geometry. Source: Alexandria, functional PBE.

Properties
- ΔH_f (0 K): -0.07 eV/atom

Unit cell a=7.3756 b=7.3756 c=7.3756 alpha=90.00 beta=90.00 gamma=90.00
Space group F-43m (No. 216)
Inequivalent atoms, fractional coordinates:
Nd1 0.0000 0.0000 0.0000 (multiplicity 4)
Pu1 0.0000 0.0000 0.5000 (multiplicity 4)
Zn1 0.2500 0.2500 0.7500 (multiplicity 4)
Ag1 0.2500 0.2500 0.2500 (multiplicity 4)

Crystalline HoIrRh4 at its relaxed geometry. Source: Alexandria, functional PBE.

Properties
- ΔH_f (0 K): -0.18 eV/atom

Unit cell a=7.8760 b=3.9312 c=6.5964 alpha=90.00 beta=90.00 gamma=90.00
Space group Pmma (No. 51)
Inequivalent atoms, fractional coordinates:
Ho1 0.2500 0.0000 0.1497 (multiplicity 2)
Ir1 0.2500 0.0000 0.7401 (multiplicity 2)
Rh1 0.0000 0.0000 0.5000 (multiplicity 2)
Rh2 0.0458 0.5000 0.8069 (multiplicity 4)
Rh3 0.2500 0.5000 0.4659 (multiplicity 2)

Crystalline YHfCoAu2 at its relaxed geometry. Source: Alexandria, functional PBE.

Properties
- ΔH_f (0 K): 0.37 eV/atom

Unit cell a=4.8799 b=4.8799 c=4.5579 alpha=90.00 beta=90.00 gamma=90.00
Space group P4/mmm (No. 123)
Inequivalent atoms, fractional coordinates:
Y1 0.0000 0.0000 0.0000 (multiplicity 1)
Hf1 0.5000 0.5000 0.0000 (multiplicity 1)
Co1 0.0000 0.0000 0.5000 (multiplicity 1)
Au1 0.0000 0.5000 0.5000 (multiplicity 2)

Crystalline ScSi2Tc at its relaxed geometry. Source: Alexandria, functional PBE.

Properties
- E_form (uncorrected): -0.4609 eV/atom
- Offset from the most stable computed form: 0.2461 eV per atom

Unit cell a=3.2133 b=3.2133 c=5.9505 alpha=90.00 beta=90.00 gamma=90.00
Space group P4mm (No. 99)
Inequivalent atoms, fractional coordinates:
Sc1 0.0000 0.0000 0.0000 (multiplicity 1)
Si1 0.0000 0.0000 0.5155 (multiplicity 1)
Si2 0.5000 0.5000 0.2832 (multiplicity 1)
Tc1 0.5000 0.5000 0.6976 (multiplicity 1)

Crystalline AcGaCo at its relaxed geometry. Source: Alexandria, functional PBE.

Properties
- Offset from the most stable computed form: 0.0000 eV per atom
- ΔH_f (0 K): -0.34 eV/atom

Unit cell a=4.2931 b=4.2931 c=7.4970 alpha=90.00 beta=90.00 gamma=90.00
Space group P4/nmm (No. 129, origin choice 2)
Inequivalent atoms, fractional coordinates:
Ac1 0.2500 0.2500 0.1942 (multiplicity 2)
Ga1 0.2500 0.2500 0.6593 (multiplicity 2)
Co1 0.2500 0.7500 0.5000 (multiplicity 2)

Crystalline SrSi2Au8 at its relaxed geometry. Source: Alexandria, functional PBE.

Properties
- E_form (uncorrected): -0.0522 eV/atom

Unit cell a=5.6806 b=5.6806 c=8.3512 alpha=90.00 beta=90.00 gamma=90.00
Space group P4/mmm (No. 123)
Inequivalent atoms, fractional coordinates:
Sr1 0.0000 0.0000 0.0000 (multiplicity 1)
Si1 0.0000 0.5000 0.5000 (multiplicity 2)
Au1 0.2524 0.2524 0.3080 (multiplicity 8)

Crystalline YTc2Br at its relaxed geometry. Source: Alexandria, functional PBE.

Properties
- E_form (uncorrected): 0.8052 eV/atom
- Offset from the most stable computed form: 0.9274 eV per atom

Unit cell a=3.3003 b=5.2022 c=8.9138 alpha=90.00 beta=90.00 gamma=90.00
Space group Cmmm (No. 65)
Inequivalent atoms, fractional coordinates:
Y1 0.0000 0.0000 0.0000 (multiplicity 2)
Tc1 0.0000 0.5000 0.2582 (multiplicity 4)
Br1 0.0000 0.0000 0.5000 (multiplicity 2)

Crystalline YTcRu2 at its relaxed geometry. Source: Alexandria, functional PBE.

Properties
- Offset from the most stable computed form: 0.2828 eV per atom
- ΔH_f (0 K): 0.37 eV/atom

Unit cell a=7.2931 b=7.2931 c=5.7002 alpha=90.00 beta=90.00 gamma=90.00
Space group I-42d (No. 122)
Inequivalent atoms, fractional coordinates:
Y1 0.0000 0.0000 0.0000 (multiplicity 4)
Tc1 0.0000 0.0000 0.5000 (multiplicity 4)
Ru1 0.1956 0.2500 0.6250 (multiplicity 8)

Crystalline Ti3SnPd4 at its relaxed geometry. Source: Alexandria, functional PBE.

Properties
- Offset from the most stable computed form: 0.0502 eV per atom
- ΔH_f (0 K): -0.47 eV/atom

Unit cell a=8.0919 b=5.7126 c=5.6365 alpha=90.00 beta=90.00 gamma=90.00
Space group Pmna (No. 53)
Inequivalent atoms, fractional coordinates:
Ti1 0.0000 0.0000 0.0000 (multiplicity 2)
Ti2 0.2500 0.2296 0.2500 (multiplicity 4)
Sn1 0.0000 0.5000 0.5000 (multiplicity 2)
Pd1 0.0000 0.0000 0.5000 (multiplicity 2)
Pd2 0.0000 0.5000 0.0000 (multiplicity 2)
Pd3 0.2500 0.2462 0.7500 (multiplicity 4)

Crystalline Sm5CoPb4 at its relaxed geometry. Source: Alexandria, functional PBE.

Properties
- ΔH_f (0 K): -0.25 eV/atom

Unit cell a=9.7973 b=9.7973 c=6.2766 alpha=90.00 beta=90.00 gamma=90.00
Space group I4/m (No. 87)
Inequivalent atoms, fractional coordinates:
Sm1 0.0000 0.0000 0.0000 (multiplicity 2)
Sm2 0.1078 0.7563 0.5000 (multiplicity 8)
Co1 0.0000 0.0000 0.5000 (multiplicity 2)
Pb1 0.0669 0.6685 0.0000 (multiplicity 8)

Crystalline Te2MoPN at its relaxed geometry. Source: Alexandria, functional PBE.

Properties
- E_form (uncorrected): 0.5579 eV/atom
- Offset from the most stable computed form: 0.0000 eV per atom

Unit cell a=5.3787 b=5.3787 c=3.7827 alpha=90.00 beta=90.00 gamma=90.00
Space group P4/mmm (No. 123)
Inequivalent atoms, fractional coordinates:
Te1 0.0000 0.5000 0.0000 (multiplicity 2)
Mo1 0.0000 0.0000 0.0000 (multiplicity 1)
P1 0.5000 0.5000 0.5000 (multiplicity 1)
N1 0.0000 0.0000 0.5000 (multiplicity 1)

Crystalline Dy6H3C2N at its relaxed geometry. Source: Alexandria, functional PBE.

Unit cell a=6.1549 b=10.6689 c=6.0843 alpha=90.00 beta=109.68 gamma=90.00
Space group C2/m (No. 12)
Inequivalent atoms, fractional coordinates:
Dy1 0.2420 0.1654 0.2303 (multiplicity 8)
Dy2 0.2454 0.5000 0.2287 (multiplicity 4)
H1 0.0000 0.1699 0.5000 (multiplicity 4)
H2 0.0000 0.5000 0.5000 (multiplicity 2)
C1 0.0000 0.3334 0.0000 (multiplicity 4)
N1 0.0000 0.0000 0.0000 (multiplicity 2)

no.,E (eV/f.u.)
1,-43.14
2,-11.73
3,-71.12
4,-7.07
5,-115.61
6,-35.65
7,-86.48
8,-32.99
9,-31.45
10,-38.99
11,-18.66
12,-15.19
13,-23.50
14,-43.92
15,-28.25
16,-29.39
17,-15.27
18,-39.32
19,-25.65
20,-33.91
21,-52.21
22,-48.02
23,-28.06
24,-72.31